# CaB2MoO6

An optimized crystal structure of CaB2MoO6 (PBE with a Hubbard U, Alexandria via LeMat-Bulk).

```
CaB2MoO6
1.0
4.2416 -4.6487 0.0000
4.2416 4.6487 0.0000
-1.7356 0.0000 5.8655
Ca B Mo O
2 4 2 12
direct
0.1105 0.8895 0.7500
0.8895 0.1105 0.2500
0.1944 0.3764 0.7816
0.3764 0.1944 0.2816
0.6236 0.8056 0.7184
0.8056 0.6236 0.2184
0.3110 0.6890 0.2500
0.6890 0.3110 0.7500
0.0037 0.7421 0.3416
0.1970 0.5856 0.9065
0.2579 0.9963 0.1584
0.2669 0.3727 0.2837
0.3727 0.2669 0.7837
0.4144 0.8030 0.5935
0.5856 0.1970 0.4065
0.6273 0.7331 0.2163
0.7331 0.6273 0.7163
0.7421 0.0037 0.8416
0.8030 0.4144 0.0935
0.9963 0.2579 0.6584
```

## Properties
crystal system: monoclinic
electronic total energy: -7.61 eV/atom
symmetry: C2/c, No. 15